*P*
The following is a DFT calculation (GGA-PBE) of a relaxed structure of MnBeIr.

Geometry as POSCAR:
```
MnBeIr
1.0
6.145 -1.364 0.000
6.145 1.364 0.000
-0.014 0.000 4.007
Mn Be Ir
2 2 2
Direct
0.000 0.000 0.000
0.672 0.672 0.002
0.205 0.205 0.503
0.332 0.332 0.997
0.549 0.549 0.501
0.857 0.857 0.497
```

Computed properties:
Mass density   12.7 Mg/m³
DOS(E_F)   1.0322 states/eV/atom

*Q*
The following is a DFT calculation (GGA-PBE) of a relaxed structure of MnBeIr.

Geometry as POSCAR:
```
MnBeIr
1.0
0.000 2.227 5.795
1.451 0.000 5.795
1.451 2.227 0.000
Mn Be Ir
1 1 1
Direct
0.000 0.000 0.000
0.341 0.341 0.659
0.687 0.687 0.313
```

Computed properties:
Mass density   11.4 Mg/m³
DOS(E_F)   0.8391 states/eV/atom

*R*
The following is a DFT calculation (GGA-PBE) of a relaxed structure of MnBeIr.

Geometry as POSCAR:
```
MnBeIr
1.0
3.950 0.000 0.000
-1.975 3.421 0.000
0.000 0.000 2.645
Mn Be Ir
1 1 1
Direct
0.000 0.000 0.000
0.667 0.333 0.385
0.333 0.667 0.525
```

Computed properties:
Mass density   11.9 Mg/m³
DOS(E_F)   1.1243 states/eV/atom

Energy ordering: *P* at the bottom, the next structure 73 meV per atom above.